1.
# Ti3Ga2Au

Crystalline Ti3Ga2Au at its relaxed geometry (PBE-GGA, Alexandria via LeMat-Bulk).

The structure in extended XYZ format:
```
6
Lattice="2.8807 0.0000 0.0000 0.0000 2.8807 0.0000 0.0000 0.0000 11.6891" Properties=species:S:1:pos:R:3 pbc="T T T"
Au 1.4403 1.4403 5.8445
Ti 0.0000 0.0000 7.8711
Ti 0.0000 0.0000 0.0000
Ti 0.0000 0.0000 3.8180
Ga 1.4403 1.4403 1.9309
Ga 1.4403 1.4403 9.7582
```

Values from the calculation:
space group: P4/mmm (123)

***

2.
# TiGaAu

Crystalline TiGaAu at its relaxed geometry (PBE-GGA, Alexandria via LeMat-Bulk).

The structure in extended XYZ format:
```
6
Lattice="-3.8222 0.6259 -0.1260 1.1213 -4.1960 4.9596 0.4332 3.1650 2.5798" Properties=species:S:1:pos:R:3 pbc="T T T"
Ga -1.9739 -1.2686 4.0477
Ga -3.1631 3.1169 2.1342
Ti -0.3282 -2.8836 5.7516
Ti 0.1906 -0.3309 2.5321
Au 0.1323 -0.1018 5.5296
Au -1.4967 1.6068 3.7061
```

Values from the calculation:
space group: Pm (6)

***

3.
# Ti6Ga3Au

Crystalline Ti6Ga3Au at its relaxed geometry (PBE-GGA, Alexandria via LeMat-Bulk).

The structure in extended XYZ format:
```
20
Lattice="-1.0904 4.9136 -2.9331 -7.7916 -1.3042 0.7117 2.1515 4.2595 6.3359" Properties=species:S:1:pos:R:3 pbc="T T T"
Ti -2.4549 4.7112 5.4989
Ti 0.7405 7.9387 3.6639
Ti -1.4785 5.8569 2.7611
Ti -2.0946 1.0647 1.5175
Ti -1.8554 3.9604 0.4946
Ti -4.5268 2.3391 4.5568
Ti -4.3535 3.5092 -1.5941
Ti -7.5997 0.5100 0.1046
Ti -7.0314 4.9123 1.7521
Ti 0.2229 3.3081 2.1527
Ti -4.2876 5.2349 3.5339
Ti -5.0489 1.0972 1.8996
Ga -6.5374 4.0567 4.1192
Ga -4.7098 7.8412 3.9948
Ga -2.4381 1.9088 -1.0031
Ga -4.4038 4.9549 0.7983
Ga -2.4138 3.3065 3.0820
Ga -0.6105 5.6933 -1.1275
Au -0.0167 3.5686 4.8904
Au -6.3748 2.7728 0.1359
```

Values from the calculation:
space group: Cmc2_1 (36)

***

4.
# TiGaAu

Crystalline TiGaAu at its relaxed geometry (PBE-GGA, Alexandria via LeMat-Bulk).

The structure in extended XYZ format:
```
6
Lattice="8.6357 -0.0001 0.0032 0.0000 4.0940 0.0000 0.4790 0.0000 2.8335" Properties=species:S:1:pos:R:3 pbc="T T T"
Ga 2.1499 0.0435 2.1985
Ga 4.7736 0.0435 1.7489
Ti 3.1075 2.0904 0.5777
Ti 5.9238 2.0903 0.0953
Au 7.4694 0.0433 1.2934
Au 0.6238 2.0905 2.4517
```

Values from the calculation:
space group: Pm (6)

***

5.
# TiGaAu2

Crystalline TiGaAu2 at its relaxed geometry (PBE-GGA, Alexandria via LeMat-Bulk).

The structure in extended XYZ format:
```
8
Lattice="-6.4306 -2.6408 2.4521 -1.9678 -1.6288 -6.9148 -3.0754 -4.6240 -1.9648" Properties=species:S:1:pos:R:3 pbc="T T T"
Ga -6.8526 -4.6997 -0.8720
Ga 0.0000 0.0000 0.0000
Ti -4.1992 -2.1348 -2.2313
Ti -4.6212 -4.1938 -5.5555
Au -9.6786 -7.2232 -5.4607
Au -5.4326 -5.0497 -3.0649
Au -2.7261 -2.4727 -4.5356
Au -5.1104 -3.0415 0.2062
```

Values from the calculation:
space group: I-42d (122)

***

6.
# Ti5Ga3Au

Crystalline Ti5Ga3Au at its relaxed geometry (PBE-GGA, Alexandria via LeMat-Bulk).

The structure in extended XYZ format:
```
18
Lattice="5.5617 0.0080 -0.7782 1.5303 5.3471 -0.7782 1.6055 1.2123 10.6289" Properties=species:S:1:pos:R:3 pbc="T T T"
Ga 3.3345 2.5178 4.7309
Ga 0.0000 0.0000 0.0000
Ga 0.8028 0.6062 5.3144
Ga 2.0252 1.5292 0.9641
Ga 6.6723 5.0382 8.1084
Ga 5.3630 4.0496 4.3416
Ti 1.3152 3.1309 3.1415
Ti 4.6687 3.5253 7.0352
Ti 5.3261 6.1596 5.9310
Ti 7.3823 3.4365 5.9310
Ti 4.0288 3.0421 2.0372
Ti 3.3714 0.4078 3.1415
Ti 4.1870 1.8286 -0.7782
Ti 3.1793 2.4007 8.9445
Ti 5.5182 4.1667 0.1280
Ti 2.9050 3.5265 -0.7782
Au 0.4404 0.3325 2.7884
Au 8.2571 6.2349 6.2841
```

Values from the calculation:
space group: C2/m (12)

***

7.
# TiGa2Au2

Crystalline TiGa2Au2 at its relaxed geometry (PBE-GGA, Alexandria via LeMat-Bulk).

The structure in extended XYZ format:
```
5
Lattice="3.8206 0.0000 0.0000 0.0000 3.8206 0.0000 1.9103 1.9103 6.2372" Properties=species:S:1:pos:R:3 pbc="T T T"
Au 3.8206 3.8206 4.9188
Au 1.9103 1.9103 1.3184
Ti 0.0000 0.0000 0.0000
Ga 3.8206 1.9103 3.1186
Ga 1.9103 3.8206 3.1186
```

Values from the calculation:
relative energy among the computed polymorphs: 139.0 meV/atom
space group: I4/mmm (139)

***

8.
# TiGaAu

Crystalline TiGaAu at its relaxed geometry (PBE-GGA, Alexandria via LeMat-Bulk).

The structure in extended XYZ format:
```
6
Lattice="3.5659 0.0000 0.0000 0.0000 3.5659 0.0000 0.0000 0.0000 8.3916" Properties=species:S:1:pos:R:3 pbc="T T T"
Ga 0.0000 0.0000 0.0000
Ga 1.7829 1.7829 0.0000
Au 1.7829 0.0000 5.0241
Au 0.0000 1.7829 3.3675
Ti 1.7829 0.0000 2.1832
Ti 0.0000 1.7829 6.2084
```

Values from the calculation:
space group: P4/nmm (129)

***

| no. | formation energy from the elements (meV/atom) | VASP energy (eV per atom) |
| --- | --- | --- |
| 1 | -440 | -5.9431 |
| 2 | -372 | -5.1053 |
| 3 | -202 | -6.1743 |
| 4 | -358 | -5.0912 |
| 5 | -67 | -4.4366 |
| 6 | 6 | -5.7532 |
| 7 | -96 | -4.1966 |
| 8 | -164 | -4.8975 |